Compound: RbPaTcN4
Source: Alexandria
Functional: GGA-PBE
Structure: optimized geometry

```
RbPaTcN4
1.0
6.080 0.000 0.000
0.000 5.800 0.000
-2.264 0.000 7.658
Rb Pa Tc N
2 2 2 8
Direct
0.212 0.250 0.432
0.788 0.750 0.568
0.296 0.250 0.951
0.704 0.750 0.049
0.240 0.750 0.149
0.760 0.250 0.851
0.032 0.750 0.940
0.044 0.750 0.283
0.462 0.513 0.162
0.462 0.987 0.162
0.538 0.013 0.838
0.538 0.487 0.838
0.956 0.250 0.717
0.968 0.250 0.060
```

Summary:
total moment	0.00	μB per atom
V	270.07	Å³/cell
final energy	-8.31	eV/atom
ΔE_f (raw)	-0.576	eV per atom
crystal system	monoclinic

Compound: RbTh3Pa4N12
Source: Alexandria
Functional: GGA-PBE
Structure: optimized geometry

```
RbTh3Pa4N12
1.0
-4.325 4.325 4.325
4.325 -4.325 4.325
4.325 4.325 -4.325
Rb Th Pa N
1 3 4 12
Direct
0.000 0.000 0.000
0.000 0.500 0.500
0.500 0.000 0.500
0.500 0.500 0.000
0.000 0.000 0.500
0.000 0.500 0.000
0.500 0.000 0.000
0.500 0.500 0.500
0.107 0.313 0.794
0.206 0.520 0.313
0.206 0.893 0.687
0.313 0.206 0.520
0.313 0.794 0.107
0.480 0.687 0.794
0.520 0.313 0.206
0.687 0.206 0.893
0.687 0.794 0.480
0.794 0.107 0.313
0.794 0.480 0.687
0.893 0.687 0.206
```

Summary:
total moment	0.00	μB per atom
V	323.60	Å³/cell
final energy	-9.33	eV/atom
ΔE_f (raw)	-1.278	eV per atom
crystal system	cubic

Compound: RbPaTiN3
Source: Alexandria
Functional: GGA-PBE
Structure: optimized geometry

```
RbPaTiN3
1.0
8.326 0.000 0.000
0.000 3.641 0.000
-2.336 0.000 8.170
Rb Pa Ti N
2 2 2 6
Direct
0.215 0.250 0.208
0.785 0.750 0.792
0.153 0.250 0.648
0.847 0.750 0.352
0.397 0.750 0.909
0.603 0.250 0.091
0.123 0.750 0.477
0.159 0.750 0.819
0.457 0.250 0.849
0.543 0.750 0.151
0.841 0.250 0.181
0.877 0.250 0.523
```

Summary:
total moment	0.00	μB per atom
V	247.63	Å³/cell
final energy	-8.37	eV/atom
ΔE_f (raw)	-1.149	eV per atom
crystal system	monoclinic

Compound: Rb4Pa3TiN8
Source: Alexandria
Functional: GGA-PBE
Structure: optimized geometry

```
Rb4Pa3TiN8
1.0
3.503 2.022 6.731
-3.503 2.022 6.731
0.000 -4.045 6.731
Rb Pa Ti N
4 3 1 8
Direct
0.000 0.000 0.000
0.000 0.500 0.500
0.500 0.000 0.500
0.500 0.500 0.000
0.000 0.000 0.500
0.000 0.500 0.000
0.500 0.000 0.000
0.500 0.500 0.500
0.219 0.219 0.219
0.229 0.712 0.712
0.288 0.288 0.771
0.288 0.771 0.288
0.712 0.229 0.712
0.712 0.712 0.229
0.771 0.288 0.288
0.781 0.781 0.781
```

Summary:
total moment	0.00	μB per atom
V	286.13	Å³/cell
final energy	-7.61	eV/atom
ΔE_f (raw)	-0.929	eV per atom
crystal system	trigonal

Compound: Rb2UPaN4
Source: Alexandria
Functional: GGA-PBE
Structure: optimized geometry

```
Rb2UPaN4
1.0
6.225 0.000 0.000
0.000 3.600 0.000
-2.087 0.000 6.735
Rb U Pa N
2 1 1 4
Direct
0.000 0.000 0.000
0.500 0.500 0.000
0.000 0.500 0.500
0.500 0.000 0.500
0.214 0.000 0.650
0.279 0.500 0.350
0.721 0.500 0.650
0.786 0.000 0.350
```

Summary:
total moment	0.13	μB per atom
V	150.94	Å³/cell
final energy	-8.04	eV/atom
ΔE_f (raw)	-1.039	eV per atom
crystal system	monoclinic

Compound: Rb3UPa2N6
Source: Alexandria
Functional: GGA-PBE
Structure: optimized geometry

```
Rb3UPa2N6
1.0
3.122 -5.407 0.000
3.122 5.407 0.000
-2.081 0.000 6.744
Rb U Pa N
3 1 2 6
Direct
0.000 0.000 0.000
0.334 0.666 0.000
0.666 0.334 0.000
0.500 0.500 0.500
0.167 0.833 0.500
0.833 0.167 0.500
0.121 0.450 0.350
0.221 0.221 0.650
0.450 0.121 0.350
0.550 0.879 0.650
0.779 0.779 0.350
0.879 0.550 0.650
```

Summary:
total moment	0.08	μB per atom
V	227.68	Å³/cell
final energy	-8.01	eV/atom
ΔE_f (raw)	-1.081	eV per atom
crystal system	monoclinic

Compound: Rb4Pa3VN8
Source: Alexandria
Functional: GGA-PBE
Structure: optimized geometry

```
Rb4Pa3VN8
1.0
3.478 2.008 6.715
-3.478 2.008 6.715
0.000 -4.016 6.715
Rb Pa V N
4 3 1 8
Direct
0.000 0.000 0.000
0.000 0.500 0.500
0.500 0.000 0.500
0.500 0.500 0.000
0.000 0.000 0.500
0.000 0.500 0.000
0.500 0.000 0.000
0.500 0.500 0.500
0.220 0.220 0.220
0.238 0.708 0.708
0.292 0.292 0.762
0.292 0.762 0.292
0.708 0.238 0.708
0.708 0.708 0.238
0.762 0.292 0.292
0.780 0.780 0.780
```

Summary:
total moment	0.00	μB per atom
V	281.41	Å³/cell
final energy	-7.61	eV/atom
ΔE_f (raw)	-0.853	eV per atom
crystal system	trigonal

Compound: Rb3Pa3VN8
Source: Alexandria
Functional: GGA-PBE
Structure: optimized geometry

```
Rb3Pa3VN8
1.0
3.442 1.987 6.777
-3.442 1.987 6.777
0.000 -3.974 6.777
Rb Pa V N
3 3 1 8
Direct
0.000 0.500 0.500
0.500 0.000 0.500
0.500 0.500 0.000
0.000 0.000 0.500
0.000 0.500 0.000
0.500 0.000 0.000
0.500 0.500 0.500
0.220 0.220 0.220
0.241 0.703 0.703
0.297 0.297 0.759
0.297 0.759 0.297
0.703 0.241 0.703
0.703 0.703 0.241
0.759 0.297 0.297
0.780 0.780 0.780
```

Summary:
total moment	0.00	μB per atom
V	278.17	Å³/cell
final energy	-8.02	eV/atom
ΔE_f (raw)	-0.877	eV per atom
crystal system	trigonal

Please write out number 8 again, unchanged.
Compound: Rb3Pa3VN8
Source: Alexandria
Functional: GGA-PBE
Structure: optimized geometry

```
Rb3Pa3VN8
1.0
3.442 1.987 6.777
-3.442 1.987 6.777
0.000 -3.974 6.777
Rb Pa V N
3 3 1 8
Direct
0.000 0.500 0.500
0.500 0.000 0.500
0.500 0.500 0.000
0.000 0.000 0.500
0.000 0.500 0.000
0.500 0.000 0.000
0.500 0.500 0.500
0.220 0.220 0.220
0.241 0.703 0.703
0.297 0.297 0.759
0.297 0.759 0.297
0.703 0.241 0.703
0.703 0.703 0.241
0.759 0.297 0.297
0.780 0.780 0.780
```

Summary:
total moment	0.00	μB per atom
V	278.17	Å³/cell
final energy	-8.02	eV/atom
ΔE_f (raw)	-0.877	eV per atom
crystal system	trigonal

- ΔE_f (raw) of number 4 (Rb4Pa3TiN8)?
  -0.929 eV per atom